1.
First-principles (GGA-PBE) data for an optimized crystal structure of CeHoAlOs, as listed in the Alexandria database.

Output
As for the electronic total energy: -26.3 eV per formula unit. The calculation puts the energy of formation from the pure elements at -0.210 eV per atom.

Unit cell a=7.029 b=7.029 c=7.029 alpha=90.00 beta=90.00 gamma=90.00
Space group F-43m (No. 216)
Asymmetric unit:
1 Ce 0.000 0.000 0.000 (multiplicity 4)
2 Ho 0.000 0.000 0.500 (multiplicity 4)
3 Al 0.250 0.250 0.250 (multiplicity 4)
4 Os 0.250 0.250 0.750 (multiplicity 4)

2.
First-principles (GGA-PBE) data for an optimized crystal structure of Y2CrP, as listed in the Alexandria database.

Output
As for the electronic total energy: -29.6 eV per formula unit. The calculation puts the energy of formation from the pure elements at -0.403 eV per atom.

Unit cell a=3.9505 b=3.9505 c=20.7749 alpha=90.00 beta=90.00 gamma=120.00
Space group R3m (No. 160, hexagonal axes)
Asymmetric unit:
1 Y 0.0000 0.0000 0.0000 (multiplicity 3)
2 Y 0.0000 0.0000 0.1810 (multiplicity 3)
3 Cr 0.0000 0.0000 0.4240 (multiplicity 3)
4 P 0.0000 0.0000 0.7581 (multiplicity 3)

3.
First-principles (GGA-PBE) data for an optimized crystal structure of Li2TbScS4, as listed in the Alexandria database.

Output
As for the electronic total energy: -45.7 eV per formula unit. The formation energy from raw total energies comes out at -173.2 kJ/mol of atoms.

Unit cell a=6.516 b=3.819 c=6.613 alpha=90.00 beta=109.77 gamma=90.00
Space group P2/m (No. 10)
Asymmetric unit:
1 Li 0.000 0.000 0.000 (multiplicity 1)
2 Li 0.000 0.500 0.500 (multiplicity 1)
3 Tb 0.500 0.000 0.500 (multiplicity 1)
4 Sc 0.500 0.500 0.000 (multiplicity 1)
5 S 0.251 0.500 0.237 (multiplicity 2)
6 S 0.257 0.000 0.764 (multiplicity 2)

4.
First-principles (GGA-PBE) data for an optimized crystal structure of La3NpTl4S8, as listed in the Alexandria database.

Output
As for the electronic total energy: -92.4 eV per formula unit. The formation energy from raw total energies comes out at -134.1 kJ/mol of atoms.

Unit cell a=8.4789 b=8.4789 c=22.3337 alpha=90.00 beta=90.00 gamma=120.00
Space group R-3m (No. 166, hexagonal axes)
Asymmetric unit:
1 La 0.0000 0.5000 0.0000 (multiplicity 9)
2 Np 0.0000 0.0000 0.0000 (multiplicity 3)
3 Tl 0.0000 0.0000 0.5000 (multiplicity 3)
4 Tl 0.0000 0.5000 0.5000 (multiplicity 9)
5 S 0.0000 0.0000 0.2648 (multiplicity 6)
6 S 0.0097 0.5048 0.7338 (multiplicity 18)

5.
First-principles (GGA-PBE) data for an optimized crystal structure of KInP2Cl, as listed in the Alexandria database.

Output
As for the electronic total energy: -12.0 eV per formula unit. The formation energy from raw total energies comes out at 87.2 kJ/mol of atoms.

Unit cell a=7.224 b=7.224 c=5.824 alpha=90.00 beta=90.00 gamma=90.00
Space group P4/mmm (No. 123)
Asymmetric unit:
1 K 0.000 0.000 0.000 (multiplicity 1)
2 In 0.500 0.500 0.500 (multiplicity 1)
3 P 0.000 0.500 0.000 (multiplicity 2)
4 Cl 0.000 0.000 0.500 (multiplicity 1)

6.
First-principles (GGA-PBE) data for an optimized crystal structure of Zr2FeHg, as listed in the Alexandria database.

Output
As for the electronic total energy: -25.8 eV per formula unit. The calculation puts the energy of formation from the pure elements at 0.016 eV per atom.

Unit cell a=3.391 b=3.391 c=6.806 alpha=90.00 beta=90.00 gamma=90.00
Space group P4mm (No. 99)
Asymmetric unit:
1 Zr 0.000 0.000 0.000 (multiplicity 1)
2 Zr 0.500 0.500 0.288 (multiplicity 1)
3 Fe 0.000 0.000 0.486 (multiplicity 1)
4 Hg 0.500 0.500 0.726 (multiplicity 1)

7.
First-principles (GGA-PBE) data for an optimized crystal structure of Cr2GaP2, as listed in the Alexandria database.

Output
As for the electronic total energy: -33.8 eV per formula unit. The calculation puts the energy of formation from the pure elements at -0.137 eV per atom.

Unit cell a=3.311 b=3.311 c=11.928 alpha=90.00 beta=90.00 gamma=90.00
Space group I4/mmm (No. 139)
Asymmetric unit:
1 Cr 0.000 0.000 0.115 (multiplicity 4)
2 Ga 0.000 0.000 0.500 (multiplicity 2)
3 P 0.000 0.500 0.250 (multiplicity 4)

8.
First-principles (GGA-PBE) data for an optimized crystal structure of TbHf2Pt9, as listed in the Alexandria database.

Output
As for the electronic total energy: -92.1 eV per formula unit. The calculation puts the energy of formation from the pure elements at -1.098 eV per atom.

Unit cell a=4.065 b=4.065 c=12.192 alpha=90.00 beta=90.00 gamma=90.00
Space group P4/mmm (No. 123)
Asymmetric unit:
1 Tb 0.000 0.000 0.000 (multiplicity 1)
2 Hf 0.000 0.000 0.334 (multiplicity 2)
3 Pt 0.000 0.500 0.175 (multiplicity 4)
4 Pt 0.000 0.500 0.500 (multiplicity 2)
5 Pt 0.500 0.500 0.000 (multiplicity 1)
6 Pt 0.500 0.500 0.338 (multiplicity 2)

9.
First-principles (GGA-PBE) data for an optimized crystal structure of NdU2Ru3, as listed in the Alexandria database.

Output
As for the electronic total energy: -56.5 eV per formula unit. The calculation puts the energy of formation from the pure elements at -0.225 eV per atom.

Unit cell a=8.152 b=9.750 c=6.542 alpha=90.00 beta=93.73 gamma=90.00
Space group C2/m (No. 12)
Asymmetric unit:
1 Nd 0.179 0.000 0.225 (multiplicity 4)
2 U 0.000 0.270 0.500 (multiplicity 4)
3 U 0.000 0.319 0.000 (multiplicity 4)
4 Ru 0.069 0.500 0.290 (multiplicity 4)
5 Ru 0.160 0.158 0.762 (multiplicity 8)

10.
First-principles (GGA-PBE) data for an optimized crystal structure of NpTa5, as listed in the Alexandria database.

Output
As for the electronic total energy: -71.0 eV per formula unit. The calculation puts the energy of formation from the pure elements at 0.202 eV per atom.

Unit cell a=4.798 b=14.090 c=3.300 alpha=90.00 beta=90.00 gamma=90.00
Space group Cmmm (No. 65)
Asymmetric unit:
1 Np 0.000 0.000 0.000 (multiplicity 2)
2 Ta 0.000 0.163 0.500 (multiplicity 4)
3 Ta 0.000 0.328 0.000 (multiplicity 4)
4 Ta 0.000 0.500 0.500 (multiplicity 2)

11.
First-principles (GGA-PBE) data for an optimized crystal structure of InOs2Cl, as listed in the Alexandria database.

Output
As for the electronic total energy: -24.0 eV per formula unit. The formation energy from raw total energies comes out at 72.5 kJ/mol of atoms.

Unit cell a=10.855 b=2.893 c=4.525 alpha=90.00 beta=97.56 gamma=90.00
Space group C2/m (No. 12)
Asymmetric unit:
1 In 0.000 0.000 0.000 (multiplicity 2)
2 Os 0.214 0.500 0.216 (multiplicity 4)
3 Cl 0.000 0.500 0.500 (multiplicity 2)

12.
First-principles (GGA-PBE) data for an optimized crystal structure of CrTc3, as listed in the Alexandria database.

Output
As for the electronic total energy: -40.1 eV per formula unit. The calculation puts the energy of formation from the pure elements at 0.148 eV per atom.

Unit cell a=2.7274 b=2.7274 c=8.6993 alpha=90.00 beta=90.00 gamma=120.00
Space group P-6m2 (No. 187)
Asymmetric unit:
1 Cr 0.0000 0.0000 0.0000 (multiplicity 1)
2 Tc 0.0000 0.0000 0.5000 (multiplicity 1)
3 Tc 0.3333 0.6667 0.2442 (multiplicity 2)